# 1
An optimized crystal structure of ZnPSe2, computed with PBE.

Unit cell a=4.4794 b=4.4794 c=7.0733 alpha=90.00 beta=90.00 gamma=132.69
Sites, in units of the cell vectors:
Zn (0.0000, 0.0000, 0.0000)
P (0.0000, 0.0000, 0.5000)
Se (0.5000, 0.5000, 0.2567)
Se (0.5000, 0.5000, 0.7433)

**Energy above the most stable polymorph in this dataset**: 1.039 eV per formula unit
**Crystal system**: orthorhombic
**Space group**: No. 65

# 2
An optimized crystal structure of ZnP2Se, computed with PBE.

Unit cell a=3.1477 b=3.1477 c=8.9485 alpha=90.00 beta=90.00 gamma=117.13
Sites, in units of the cell vectors:
Zn (0.0000, 0.0000, 0.0000)
P (0.0000, 0.0000, 0.4016)
P (0.5000, 0.5000, 0.2310)
Se (0.5000, 0.5000, 0.7892)

**Energy above the most stable polymorph in this dataset**: 2.021 eV per formula unit
**Crystal system**: orthorhombic
**Space group**: No. 35

# 3
An optimized crystal structure of ZnPSe2, computed with PBE.

Unit cell a=7.8068 b=7.8068 c=7.8068 alpha=140.06 beta=140.06 gamma=57.77
Sites, in units of the cell vectors:
Zn (0.0000, 0.0000, 0.0000)
Zn (0.7500, 0.2500, 0.5000)
P (0.2500, 0.7500, 0.5000)
P (0.5000, 0.5000, 0.0000)
Se (0.1350, 0.6250, 0.0100)
Se (0.3750, 0.3850, 0.5100)
Se (0.6150, 0.1250, 0.9900)
Se (0.8750, 0.8650, 0.4900)

**Energy above the most stable polymorph in this dataset**: 0.495 eV per formula unit
**Crystal system**: tetragonal
**Space group**: No. 122

# 4
An optimized crystal structure of ZnP2Se, computed with PBE.

Unit cell a=7.1865 b=7.1865 c=7.1865 alpha=135.13 beta=135.13 gamma=65.33
Sites, in units of the cell vectors:
Zn (0.0000, 0.0000, 0.0000)
Zn (0.7500, 0.2500, 0.5000)
P (0.1041, 0.6250, 0.9791)
P (0.3750, 0.3541, 0.4791)
P (0.6459, 0.1250, 0.0209)
P (0.8750, 0.8959, 0.5209)
Se (0.2500, 0.7500, 0.5000)
Se (0.5000, 0.5000, 0.0000)

**Energy above the most stable polymorph in this dataset**: 1.664 eV per formula unit
**Crystal system**: tetragonal
**Space group**: No. 122

no.,M_tot (μB per formula unit),E (eV per cell),formation energy from raw total energies (meV/atom)
1,0.00,-12.91,186
2,0.00,-14.03,388
3,0.00,-26.90,50
4,0.00,-28.77,299